Entry from Alexandria via LeMat-Bulk: a relaxed structure of BaIr2O7 (PBE).

For the total DFT energy (no corrections), the calculation gives -6.32 eV/atom. The value obtained for the raw formation energy is -85.33 kJ/mol of atoms.

abc: 6.391 10.283 3.878
angles: 90.00 90.00 90.00
Space group Cmmm (No. 65)
One atom of each set of equivalent atoms:
Ba: 0.000 0.000 0.000
Ir: 0.000 0.306 0.500
O: 0.000 0.298 0.000
O: 0.000 0.500 0.500
O: 0.185 0.147 0.500